Material: HfZrZn3
Method: DFT, GGA-PBE
State: relaxed

Values from the calculation:
total magnetization: 0.00 Bohr magnetons per cell
space-group type: Cmcm, No. 63
calculated volume: 17.9 A^3/atom
crystal system: orthorhombic
formation energy from the elements: -0.238 eV per atom
energy: -0.173 hartree per atom

Lattice parameters (Å, degrees): 13.065 13.065 4.265 90.00 90.00 165.78
Fractional positions:
1 Hf 0.216 0.784 0.750
2 Hf 0.784 0.216 0.250
3 Zr 0.073 0.927 0.250
4 Zr 0.927 0.073 0.750
5 Zn 0.327 0.673 0.750
6 Zn 0.379 0.621 0.250
7 Zn 0.476 0.524 0.250
8 Zn 0.524 0.476 0.750
9 Zn 0.621 0.379 0.750
10 Zn 0.673 0.327 0.250